Computed, not measured: a relaxed structure of UMnZn11 at the GGA-PBE level of DFT.

Values from the calculation:
**Total energy**: -2.658 eV/atom
**Crystal system**: monoclinic

a b c (Å): 5.202 12.586 6.790
angles (deg): 90.00 112.39 90.00
Space group C2/m (No. 12)
Unique sites:
U 0.000 0.000 0.000 [2 per cell]
Mn 0.000 0.000 0.500 [2 per cell]
Zn 0.000 0.500 0.500 [2 per cell]
Zn 0.112 0.392 0.218 [8 per cell]
Zn 0.164 0.174 0.354 [8 per cell]
Zn 0.250 0.250 0.000 [4 per cell]

Computed, not measured: a relaxed structure of UMn4Zn at the GGA-PBE level of DFT.

Values from the calculation:
**Total energy**: -7.996 eV/atom
**Crystal system**: cubic

a b c (Å): 6.953 6.953 6.953
angles (deg): 90.00 90.00 90.00
Space group F-43m (No. 216)
Unique sites:
U 0.000 0.000 0.000 [4 per cell]
Mn 0.125 0.125 0.375 [16 per cell]
Zn 0.250 0.250 0.750 [4 per cell]

Computed, not measured: a relaxed structure of ZrU2Mn9 at the GGA-PBE level of DFT.

Values from the calculation:
**Total energy**: -9.427 eV/atom
**Crystal system**: tetragonal

a b c (Å): 8.150 8.150 5.043
angles (deg): 90.00 90.00 90.00
Space group P4/mbm (No. 127)
Unique sites:
Zr 0.000 0.000 0.000 [2 per cell]
U 0.114 0.386 0.000 [4 per cell]
Mn 0.000 0.500 0.500 [2 per cell]
Mn 0.066 0.203 0.500 [8 per cell]
Mn 0.186 0.686 0.248 [8 per cell]

Computed, not measured: a relaxed structure of ZrUMn4 at the GGA-PBE level of DFT.

Values from the calculation:
**Total energy**: -9.390 eV/atom
**Crystal system**: cubic

a b c (Å): 7.091 7.091 7.091
angles (deg): 90.00 90.00 90.00
Space group F-43m (No. 216)
Unique sites:
Zr 0.000 0.000 0.000 [4 per cell]
U 0.250 0.250 0.250 [4 per cell]
Mn 0.125 0.125 0.625 [16 per cell]

Computed, not measured: a relaxed structure of ZrUMn2 at the GGA-PBE level of DFT.

Values from the calculation:
**Total energy**: -9.497 eV/atom
**Crystal system**: tetragonal

a b c (Å): 3.187 3.187 6.452
angles (deg): 90.00 90.00 90.00
Space group P4/mmm (No. 123)
Unique sites:
Zr 0.000 0.000 0.000 [1 per cell]
U 0.000 0.000 0.500 [1 per cell]
Mn 0.500 0.500 0.290 [2 per cell]

Computed, not measured: a relaxed structure of MnV5 at the GGA-PBE level of DFT.

Values from the calculation:
**Total energy**: -9.231 eV/atom
**ΔE to the lowest computed polymorph**: 0.0054 eV per atom
**Crystal system**: monoclinic

a b c (Å): 25.151 4.196 2.946
angles (deg): 90.00 96.56 90.00
Space group C2/m (No. 12)
Unique sites:
Mn 0.125 0.000 0.375 [4 per cell]
V 0.042 0.500 0.291 [4 per cell]
V 0.045 0.000 0.794 [4 per cell]
V 0.125 0.500 0.875 [4 per cell]
V 0.205 0.000 0.955 [4 per cell]
V 0.209 0.500 0.459 [4 per cell]

Computed, not measured: a relaxed structure of MnV5 at the GGA-PBE level of DFT.

Values from the calculation:
**Total energy**: -9.229 eV/atom
**ΔE to the lowest computed polymorph**: 0.0066 eV per atom
**Crystal system**: orthorhombic

a b c (Å): 4.166 12.574 2.948
angles (deg): 90.00 90.00 90.00
Space group Cmmm (No. 65)
Unique sites:
Mn 0.000 0.000 0.000 [2 per cell]
V 0.000 0.161 0.500 [4 per cell]
V 0.000 0.333 0.000 [4 per cell]
V 0.000 0.500 0.500 [2 per cell]

Computed, not measured: a relaxed structure of Mn3V13 at the GGA-PBE level of DFT.

Values from the calculation:
**Total energy**: -9.232 eV/atom
**Crystal system**: orthorhombic

a b c (Å): 5.876 8.298 8.399
angles (deg): 90.00 90.00 90.00
Space group Amm2 (No. 38)
Unique sites:
Mn 0.000 0.000 0.000 [2 per cell]
Mn 0.250 0.000 0.252 [4 per cell]
V 0.000 0.000 0.498 [2 per cell]
V 0.000 0.242 0.251 [4 per cell]
V 0.247 0.000 0.753 [4 per cell]
V 0.247 0.246 0.001 [8 per cell]
V 0.500 0.000 0.008 [2 per cell]
V 0.500 0.000 0.499 [2 per cell]
V 0.500 0.244 0.253 [4 per cell]

Computed, not measured: a relaxed structure of MnV3 at the GGA-PBE level of DFT.

Values from the calculation:
**Total energy**: -8.790 eV/atom
**Crystal system**: orthorhombic

a b c (Å): 2.342 2.677 8.476
angles (deg): 90.00 90.00 90.00
Space group Pmm2 (No. 25)
Unique sites:
Mn 0.000 0.000 0.000 [1 per cell]
V 0.000 0.500 0.243 [1 per cell]
V 0.500 0.000 0.491 [1 per cell]
V 0.500 0.500 0.774 [1 per cell]

Computed, not measured: a relaxed structure of MnV3 at the GGA-PBE level of DFT.

Values from the calculation:
**Total energy**: -9.297 eV/atom
**Crystal system**: orthorhombic

a b c (Å): 2.920 4.090 8.441
angles (deg): 90.00 90.00 90.00
Space group Immm (No. 71)
Unique sites:
Mn 0.000 0.000 0.000 [2 per cell]
V 0.000 0.000 0.500 [2 per cell]
V 0.000 0.500 0.258 [4 per cell]

Computed, not measured: a relaxed structure of MnV3 at the GGA-PBE level of DFT.

Values from the calculation:
**Total energy**: -8.935 eV/atom
**Crystal system**: cubic

a b c (Å): 3.761 3.761 3.761
angles (deg): 90.00 90.00 90.00
Space group Pm-3m (No. 221)
Unique sites:
Mn 0.000 0.000 0.000 [1 per cell]
V 0.000 0.500 0.500 [3 per cell]

Computed, not measured: a relaxed structure of MnV3 at the GGA-PBE level of DFT.

Values from the calculation:
**Total energy**: -9.107 eV/atom
**Crystal system**: tetragonal

a b c (Å): 3.414 3.414 8.808
angles (deg): 90.00 90.00 90.00
Space group I4/mmm (No. 139)
Unique sites:
Mn 0.000 0.000 0.000 [2 per cell]
V 0.000 0.000 0.500 [2 per cell]
V 0.000 0.500 0.250 [4 per cell]

Computed, not measured: a relaxed structure of MnV3 at the GGA-PBE level of DFT.

Values from the calculation:
**Total energy**: -9.280 eV/atom
**Crystal system**: cubic

a b c (Å): 5.857 5.857 5.857
angles (deg): 90.00 90.00 90.00
Space group Fm-3m (No. 225)
Unique sites:
Mn 0.000 0.000 0.000 [4 per cell]
V 0.000 0.000 0.500 [4 per cell]
V 0.250 0.250 0.250 [8 per cell]

Computed, not measured: a relaxed structure of Mn3V at the GGA-PBE level of DFT.

Values from the calculation:
**Total energy**: -8.804 eV/atom
**Crystal system**: orthorhombic

a b c (Å): 2.514 2.613 7.756
angles (deg): 90.00 90.00 90.00
Space group Pmm2 (No. 25)
Unique sites:
Mn 0.000 0.000 0.000 [1 per cell]
Mn 0.000 0.500 0.254 [1 per cell]
Mn 0.500 0.500 0.781 [1 per cell]
V 0.500 0.000 0.504 [1 per cell]

Computed, not measured: a relaxed structure of Mn3V at the GGA-PBE level of DFT.

Values from the calculation:
**Total energy**: -9.196 eV/atom
**Crystal system**: cubic

a b c (Å): 5.707 5.707 5.707
angles (deg): 90.00 90.00 90.00
Space group Fm-3m (No. 225)
Unique sites:
Mn 0.000 0.000 0.000 [4 per cell]
Mn 0.250 0.250 0.250 [8 per cell]
V 0.000 0.000 0.500 [4 per cell]

Computed, not measured: a relaxed structure of Mn6V at the GGA-PBE level of DFT.

Values from the calculation:
**Total energy**: -7.898 eV/atom
**Crystal system**: cubic

a b c (Å): 5.988 5.988 5.988
angles (deg): 90.00 90.00 90.00
Space group Im-3m (No. 229)
Unique sites:
Mn 0.000 0.250 0.500 [12 per cell]
V 0.000 0.000 0.000 [2 per cell]

Computed, not measured: a relaxed structure of MnV5 at the GGA-PBE level of DFT.

Values from the calculation:
**Total energy**: -9.236 eV/atom
**ΔE to the lowest computed polymorph**: 0.0000 eV per atom
**Crystal system**: monoclinic

a b c (Å): 9.408 2.932 5.926
angles (deg): 90.00 109.00 90.00
Space group C2/m (No. 12)
Unique sites:
Mn 0.000 0.000 0.000 [2 per cell]
V 0.000 0.000 0.500 [2 per cell]
V 0.162 0.500 0.837 [4 per cell]
V 0.163 0.500 0.326 [4 per cell]

Computed, not measured: a relaxed structure of Mn2V3 at the GGA-PBE level of DFT.

Values from the calculation:
**Total energy**: -9.373 eV/atom
**ΔE to the lowest computed polymorph**: 0.0000 eV per atom
**Crystal system**: tetragonal

a b c (Å): 2.888 2.888 14.590
angles (deg): 90.00 90.00 90.00
Space group P4/mmm (No. 123)
Unique sites:
Mn 0.000 0.000 0.098 [2 per cell]
Mn 0.000 0.000 0.295 [2 per cell]
V 0.000 0.000 0.500 [1 per cell]
V 0.500 0.500 0.000 [1 per cell]
V 0.500 0.500 0.197 [2 per cell]
V 0.500 0.500 0.393 [2 per cell]

Computed, not measured: a relaxed structure of Mn2V3 at the GGA-PBE level of DFT.

Values from the calculation:
**Total energy**: -8.919 eV/atom
**ΔE to the lowest computed polymorph**: 0.4539 eV per atom
**Crystal system**: orthorhombic

a b c (Å): 6.680 6.130 6.325
angles (deg): 90.00 90.00 90.00
Space group Pbcn (No. 60)
Unique sites:
Mn 0.101 0.191 0.117 [8 per cell]
V 0.000 0.194 0.750 [4 per cell]
V 0.188 0.500 0.413 [8 per cell]

Computed, not measured: a relaxed structure of Mn4V5W at the GGA-PBE level of DFT.

Values from the calculation:
**Total energy**: -9.723 eV/atom
**Crystal system**: tetragonal

a b c (Å): 2.913 2.913 14.730
angles (deg): 90.00 90.00 90.00
Space group P4/mmm (No. 123)
Unique sites:
Mn 0.000 0.000 0.097 [2 per cell]
Mn 0.000 0.000 0.292 [2 per cell]
V 0.500 0.500 0.000 [1 per cell]
V 0.500 0.500 0.193 [2 per cell]
V 0.500 0.500 0.388 [2 per cell]
W 0.000 0.000 0.500 [1 per cell]

Computed, not measured: a relaxed structure of Mn2V3W at the GGA-PBE level of DFT.

Values from the calculation:
**Total energy**: -9.935 eV/atom
**Crystal system**: tetragonal

a b c (Å): 2.948 2.948 8.914
angles (deg): 90.00 90.00 90.00
Space group P4/mmm (No. 123)
Unique sites:
Mn 0.000 0.000 0.159 [2 per cell]
V 0.500 0.500 0.000 [1 per cell]
V 0.500 0.500 0.320 [2 per cell]
W 0.000 0.000 0.500 [1 per cell]

Computed, not measured: a relaxed structure of MnVW2 at the GGA-PBE level of DFT.

Values from the calculation:
**Total energy**: -11.054 eV/atom
**ΔE to the lowest computed polymorph**: 0.0121 eV per atom
**Crystal system**: tetragonal

a b c (Å): 3.041 3.041 6.091
angles (deg): 90.00 90.00 90.00
Space group P4/mmm (No. 123)
Unique sites:
Mn 0.000 0.000 0.000 [1 per cell]
V 0.000 0.000 0.500 [1 per cell]
W 0.500 0.500 0.248 [2 per cell]

Computed, not measured: a relaxed structure of MnV6W2 at the GGA-PBE level of DFT.

Values from the calculation:
**Total energy**: -9.798 eV/atom
**ΔE to the lowest computed polymorph**: 0.1223 eV per atom
**Crystal system**: monoclinic

a b c (Å): 7.178 7.766 4.706
angles (deg): 90.00 106.01 90.00
Space group C2/m (No. 12)
Unique sites:
Mn 0.000 0.000 0.000 [2 per cell]
V 0.000 0.166 0.500 [4 per cell]
V 0.166 0.329 0.170 [8 per cell]
W 0.174 0.500 0.676 [4 per cell]

Computed, not measured: a relaxed structure of MnV6W2 at the GGA-PBE level of DFT.

Values from the calculation:
**Total energy**: -9.921 eV/atom
**ΔE to the lowest computed polymorph**: 0.0000 eV per atom
**Crystal system**: monoclinic

a b c (Å): 6.603 13.127 2.923
angles (deg): 90.00 99.29 90.00
Space group C2/m (No. 12)
Unique sites:
Mn 0.000 0.000 0.000 [2 per cell]
V 0.162 0.339 0.836 [8 per cell]
V 0.172 0.500 0.328 [4 per cell]
W 0.000 0.162 0.500 [4 per cell]

| no. | total moment (μB per formula unit) | theoretical density (g cm⁻³) |
| --- | --- | --- |
| 1 | 5.9 | 8.18 |
| 2 | 6.3 | 10.34 |
| 3 | 5.3 | 10.53 |
| 4 | 4.8 | 10.23 |
| 5 | 0.0 | 11.13 |
| 6 | 0.0 | 6.66 |
| 7 | 0.0 | 6.66 |
| 8 | 0.0 | 6.71 |
| 9 | 0.0 | 6.49 |
| 10 | 0.0 | 6.85 |
| 11 | 1.5 | 6.49 |
| 12 | 0.0 | 6.72 |
| 13 | 0.0 | 6.87 |
| 14 | 2.0 | 7.03 |
| 15 | 1.7 | 7.71 |
| 16 | 2.5 | 5.89 |
| 17 | 0.0 | 6.65 |
| 18 | 0.0 | 7.17 |
| 19 | 0.0 | 6.74 |
| 20 | 0.0 | 8.74 |
| 21 | 0.0 | 9.57 |
| 22 | 0.1 | 13.96 |
| 23 | 0.0 | 9.59 |
| 24 | 0.0 | 9.67 |